Record 1
A geometry-optimized VCuTcRh structure, computed with GGA-PBE.

Magnetic moment = 0.00 μB per formula unit
ΔH_f (0 K) = -0.049 eV per atom

abc: 4.2436 4.2436 4.2436
angles: 60.00 60.00 60.00
Element x y z (fractional)
V (0.0000, 0.0000, 0.0000)
Cu (0.5000, 0.5000, 0.5000)
Tc (0.7500, 0.7500, 0.7500)
Rh (0.2500, 0.2500, 0.2500)

---

Record 2
A geometry-optimized Y2BeSnCl structure, computed with GGA-PBE.

Magnetic moment = 0.00 μB per formula unit
Energy = -23.72 eV per cell

abc: 5.1977 4.2704 5.1977
angles: 90.00 90.00 90.00
Element x y z (fractional)
Cl (0.0000, 0.0000, 0.0000)
Sn (0.5000, 0.5000, 0.5000)
Y (0.0000, 0.0000, 0.5000)
Y (0.5000, 0.0000, 0.0000)
Be (0.0000, 0.5000, 0.0000)

---

Record 3
A geometry-optimized InNi2P structure, computed with GGA-PBE.

Magnetic moment = 0.00 μB per formula unit
ΔH_f (0 K) = 0.095 eV per atom

abc: 4.4245 4.4245 4.4245
angles: 125.21 125.21 81.19
Element x y z (fractional)
Ni (0.7500, 0.2500, 0.5000)
Ni (0.2500, 0.7500, 0.5000)
P (0.5000, 0.5000, 0.0000)
In (0.0000, 0.0000, 0.0000)

---

Record 4
A geometry-optimized Cd2CoHgAs structure, computed with GGA-PBE.

Magnetic moment = 0.00 μB per formula unit
ΔH_f (0 K) = 0.045 eV per atom

abc: 5.1603 5.1603 4.2934
angles: 90.00 90.00 90.00
Element x y z (fractional)
Cd (0.0000, 0.5000, 0.0000)
Cd (0.5000, 0.0000, 0.0000)
As (0.0000, 0.0000, 0.5000)
Hg (0.5000, 0.5000, 0.5000)
Co (0.0000, 0.0000, 0.0000)

---

Record 5
A geometry-optimized MoP2 structure, computed with GGA-PBE.

Magnetic moment = 0.00 μB per formula unit
ΔH_f (0 K) = 0.113 eV per atom

abc: 4.5014 4.5014 2.5074
angles: 90.00 90.00 119.99
Element x y z (fractional)
Mo (0.0000, 0.0000, 0.0000)
P (0.3333, 0.6667, 0.9997)
P (0.6667, 0.3333, 0.0003)

---

Record 6
A geometry-optimized CoMo2HRh structure, computed with GGA-PBE.

Magnetic moment = 0.00 μB per formula unit
Energy relative to the lowest polymorph listed for this composition = 0.049 eV per atom

abc: 3.8852 3.8852 3.8843
angles: 90.00 90.00 90.00
Element x y z (fractional)
Mo (0.5000, 0.0000, 0.0000)
Mo (0.0000, 0.5000, 0.0000)
Co (0.5000, 0.5000, 0.5000)
H (0.0000, 0.0000, 0.0000)
Rh (0.0000, 0.0000, 0.5000)

---

Record 7
A geometry-optimized ScCr2Mo structure, computed with GGA-PBE.

Magnetic moment = 0.00 μB per formula unit
ΔH_f (0 K) = 0.257 eV per atom
Energy relative to the lowest polymorph listed for this composition = 0.065 eV per atom

abc: 4.3644 4.3644 4.3644
angles: 60.00 60.00 60.00
Element x y z (fractional)
Cr (0.2500, 0.2500, 0.2500)
Cr (0.7500, 0.7500, 0.7500)
Sc (0.0000, 0.0000, 0.0000)
Mo (0.5000, 0.5000, 0.5000)

---

Record 8
A geometry-optimized Pu2GaCo structure, computed with GGA-PBE.

Magnetic moment = 10.04 μB per formula unit
ΔH_f (0 K) = -0.090 eV per atom

abc: 3.6626 3.6626 5.8736
angles: 90.00 90.00 90.00
Element x y z (fractional)
Pu (0.0000, 0.0000, 0.7632)
Pu (0.0000, 0.0000, 0.2368)
Co (0.5000, 0.5000, 0.0000)
Ga (0.5000, 0.5000, 0.5000)

---

We obtain calculated density values of 9.7 4.9 7.8 8.1 6.0 10.0 6.9 13.0 g/cm³ for the records listed above, in that order.